Density functional theory data (GGA-PBE) for Y2SiSe after structural relaxation.

Cell: 4.5006 3.7740 11.1206 Å, 90.00 90.00 90.00°
Closest atoms and distances in Å follow each position.
Space group Amm2 (No. 38)
Unique sites:
Y  0.0000  0.0000  0.0000 (multiplicity 2)  1 Si 2.86, 4 Se 2.94
Y  0.5000  0.0000  0.2559 (multiplicity 2)  1 Se 2.87, 4 Si 2.94
Si  0.0000  0.0000  0.7431 (multiplicity 2)  5 Y 2.86-2.94
Se  0.5000  0.0000  0.5140 (multiplicity 2)  5 Y 2.87-2.94

For the energy above the most stable polymorph in this dataset, the calculation gives 86 kJ/mol of formula units. Its density of states at the Fermi level is 1.15 states/eV per cell. The calculation puts the total magnetization at 0.00 μB per cell. For the energy relative to the elements, uncorrected, the calculation gives -1.12 eV/atom.